Run a
GGA-PBE TbZrSi2, optimized geometry; symmetry = Pmc2_1 (26); total moment = 0.01 Bohr magnetons per cell
1.0
3.798 0.000 0.000
0.000 5.542 0.000
0.000 0.000 7.495
Tb Si Zr
2 4 2
direct
0.000 0.128 0.678
0.000 0.872 0.178
0.500 0.873 0.463
0.000 0.391 0.040
0.500 0.127 0.963
0.000 0.609 0.540
0.500 0.373 0.319
0.500 0.627 0.819


Run b
GGA-PBE TbZrSi2, optimized geometry; symmetry = P2_1/m (11); total moment = 0.02 Bohr magnetons per cell
1.0
-2.620 2.907 -3.923
-3.355 -1.057 1.457
0.133 5.904 4.590
Tb Si Zr
2 4 2
direct
0.375 0.250 0.819
0.625 0.750 0.181
0.870 0.250 0.955
0.359 0.750 0.533
0.641 0.250 0.467
0.130 0.750 0.045
0.884 0.750 0.676
0.116 0.250 0.324


Run c
GGA-PBE TbZrSi2, optimized geometry; symmetry = Pmn2_1 (31); total moment = 0.01 Bohr magnetons per cell
1.0
-1.561 -3.010 -1.703
1.581 -4.246 6.054
-4.872 1.294 2.180
Si Tb Zr
4 2 2
direct
0.500 0.774 0.634
0.000 0.697 0.365
0.500 0.303 0.865
0.000 0.226 0.134
0.500 0.926 0.121
0.000 0.074 0.621
0.000 0.565 0.880
0.500 0.435 0.380


run c comes first in stability; the runner-up is 21 meV per atom higher.


Run a
GGA-PBE TmSiTc, optimized geometry; symmetry = F-43m (216); total moment = 0.27 Bohr magnetons per cell
1.0
0.000 3.199 3.199
3.199 0.000 3.199
3.199 3.199 0.000
Tc Tm Si
1 1 1
direct
0.750 0.750 0.750
0.000 0.000 0.000
0.250 0.250 0.250


Run b
GGA-PBE TmSiTc, optimized geometry; symmetry = F-43m (216); total moment = 0.09 Bohr magnetons per cell
1.0
4.253 -0.711 0.648
1.306 -2.608 3.242
1.720 -3.905 -0.901
Tm Tc Si
1 1 1
direct
0.750 0.750 0.750
0.250 0.250 0.250
0.000 0.000 0.000


run b comes first in stability; the runner-up is 1038 meV per atom higher.


Run a
GGA-PBE YSi2Tc2, optimized geometry; symmetry = I4/mmm (139); total moment = 0.02 Bohr magnetons per cell
1.0
-0.367 -5.632 1.668
-5.034 -3.000 -0.549
3.491 3.477 -3.219
Y Si Tc
1 2 2
direct
0.000 0.000 0.000
0.379 0.379 0.000
0.621 0.621 0.000
0.250 0.750 0.500
0.750 0.250 0.500


Run b
GGA-PBE YSi2Tc2, optimized geometry; symmetry = I4/mmm (139); total moment = 0.00 Bohr magnetons per cell
1.0
-1.134 4.196 3.655
-5.370 1.848 0.001
2.549 -5.066 0.300
Tc Si Y
2 2 1
direct
0.621 0.621 0.000
0.379 0.379 0.000
0.250 0.750 0.500
0.750 0.250 0.500
0.000 0.000 0.000


run a comes first in stability; the runner-up is 241 meV per atom higher.


Run a
GGA-PBE ZnSiTe, optimized geometry; symmetry = F-43m (216)
1.0
0.000 3.312 3.312
3.312 0.000 3.312
3.312 3.312 0.000
Zn Si Te
1 1 1
direct
0.750 0.750 0.750
0.000 0.000 0.000
0.250 0.250 0.250


Run b
GGA-PBE ZnSiTe, optimized geometry; symmetry = F-43m (216)
1.0
-1.251 -4.407 -1.394
-4.618 -1.085 -0.649
-1.691 -0.723 -4.421
Si Zn Te
1 1 1
direct
0.500 0.500 0.500
0.000 0.000 0.000
0.250 0.250 0.250


run a comes first in stability; the runner-up is 153 meV per atom higher.


Run a
GGA-PBE TmTlSi, optimized geometry; symmetry = F-43m (216); total moment = 0.00 Bohr magnetons per cell
1.0
0.000 3.449 3.449
3.449 0.000 3.449
3.449 3.449 0.000
Tl Si Tm
1 1 1
direct
0.750 0.750 0.750
0.250 0.250 0.250
0.000 0.000 0.000


Run b
GGA-PBE TmTlSi, optimized geometry; symmetry = F-43m (216); total moment = 0.00 Bohr magnetons per cell
1.0
0.000 3.384 3.384
3.384 0.000 3.384
3.384 3.384 0.000
Tm Si Tl
1 1 1
direct
0.750 0.750 0.750
0.000 0.000 0.000
0.250 0.250 0.250


run b comes first in stability; the runner-up is 43 meV per atom higher.


Run a
GGA-PBE Si2W, optimized geometry; symmetry = P4_332 (212); total moment = 0.01 Bohr magnetons per cell
1.0
-5.581 0.762 1.375
-1.572 -2.832 -4.809
0.040 -5.002 2.933
W Si
4 8
direct
0.375 0.125 0.875
0.125 0.875 0.375
0.625 0.625 0.625
0.875 0.375 0.125
0.780 0.220 0.720
0.530 0.030 0.470
0.720 0.780 0.220
0.220 0.720 0.780
0.030 0.470 0.530
0.280 0.280 0.280
0.470 0.530 0.030
0.970 0.970 0.970


Run b
GGA-PBE Si2W, optimized geometry; symmetry = Fddd (70); total moment = 0.00 Bohr magnetons per cell
1.0
0.000 3.988 4.465
2.299 0.000 4.465
2.299 3.988 0.000
W Si
2 4
direct
0.750 0.750 0.750
0.500 0.500 0.500
0.163 0.837 0.163
0.413 0.087 0.413
0.087 0.413 0.087
0.837 0.163 0.837


Run c
GGA-PBE Si2W, optimized geometry; symmetry = Cmcm (63); total moment = 0.00 Bohr magnetons per cell
1.0
1.726 -7.723 0.000
1.726 7.723 0.000
0.000 0.000 3.373
W Si
2 4
direct
0.872 0.128 0.250
0.128 0.872 0.750
0.252 0.748 0.250
0.748 0.252 0.750
0.561 0.439 0.250
0.439 0.561 0.750


run b comes first in stability; the runner-up is 285 meV per atom higher.


Run a
GGA-PBE Sm, optimized geometry; symmetry = Cmce (64); total moment = 0.02 Bohr magnetons per cell
1.0
-2.961 -6.247 0.000
-2.961 6.247 0.000
0.000 0.000 -3.672
Sm
4
direct
0.136 0.864 0.030
0.364 0.636 0.530
0.636 0.364 0.470
0.864 0.136 0.970


Run b
GGA-PBE Sm, optimized geometry; symmetry = Im-3m (229); total moment = 0.44 Bohr magnetons per cell
1.0
0.078 -1.299 -3.273
-0.531 3.480 -0.131
3.068 -0.661 1.599
Sm
1
direct
0.000 0.000 0.000


run b comes first in stability; the runner-up is 39 meV per atom higher.


Run a
GGA-PBE SmTmZn2Sn2, optimized geometry; symmetry = P6_3/mmc (194); total moment = 0.00 Bohr magnetons per cell
1.0
-1.076 4.042 1.673
-2.089 -1.543 -3.681
-11.172 -6.775 9.181
Sn Zn Tm Sm
4 4 2 2
direct
0.667 0.333 0.117
0.333 0.667 0.883
0.667 0.333 0.383
0.333 0.667 0.617
0.333 0.667 0.337
0.333 0.667 0.163
0.667 0.333 0.837
0.667 0.333 0.663
0.000 0.000 0.750
0.000 0.000 0.250
0.000 0.000 0.000
0.000 0.000 0.500


Run b
GGA-PBE SmTmZn2Sn2, optimized geometry; symmetry = P6_3/mmc (194); total moment = 0.00 Bohr magnetons per cell
1.0
4.533 0.000 0.000
-2.266 3.925 0.000
0.000 0.000 15.840
Sn Tm Sm Zn
4 2 2 4
direct
0.333 0.667 0.611
0.667 0.333 0.111
0.333 0.667 0.889
0.667 0.333 0.389
0.000 0.000 0.500
0.000 0.000 0.000
0.000 0.000 0.750
0.000 0.000 0.250
0.667 0.333 0.657
0.333 0.667 0.157
0.333 0.667 0.343
0.667 0.333 0.843


run a comes first in stability; the runner-up is 18 meV per atom higher.